No. 1
Below is a PBEsol-optimized structure of P2IrPb, with properties calculated at the meta-GGA SCAN level.

Structure (CIF):
```
data_P2IrPb
_chemical_formula_sum 'P2 Ir1 Pb1'
_cell_length_a 3.119
_cell_length_b 3.119
_cell_length_c 7.363
_cell_angle_alpha 90.00
_cell_angle_beta 90.00
_cell_angle_gamma 90.00
_symmetry_space_group_name_H-M 'P 4 m m'
_symmetry_Int_Tables_number 99
loop_
_symmetry_equiv_pos_as_xyz
'x,y,z'
'-y,x,z'
'-x,-y,z'
'y,-x,z'
'-x,y,z'
'y,x,z'
'x,-y,z'
'-y,-x,z'
loop_
_atom_site_label
_atom_site_fract_x
_atom_site_fract_y
_atom_site_fract_z
_atom_site_occupancy
P1 0.000 0.000 0.000 1
P2 0.500 0.500 0.166 1
Ir1 0.500 0.500 0.836 1
Pb1 0.000 0.000 0.542 1
```

Calculated values
crystal system = tetragonal
formation enthalpy at 0 K = 1.31 eV/f.u.

***

No. 2
Below is a PBEsol-optimized structure of Dy2CdGe2, with properties calculated at the meta-GGA SCAN level.

Structure (CIF):
```
data_Dy2CdGe2
_chemical_formula_sum 'Dy4 Cd2 Ge4'
_cell_length_a 7.190
_cell_length_b 7.190
_cell_length_c 4.133
_cell_angle_alpha 90.00
_cell_angle_beta 90.00
_cell_angle_gamma 90.00
_symmetry_space_group_name_H-M 'P 4/m b m'
_symmetry_Int_Tables_number 127
_symmetry_space_group_name_Hall '-P 4 2ab'
loop_
_atom_site_label
_atom_site_fract_x
_atom_site_fract_y
_atom_site_fract_z
_atom_site_occupancy
Dy1 0.178 0.322 0.000 1
Cd1 0.000 0.000 0.500 1
Ge1 0.122 0.622 0.500 1
```

Calculated values
crystal system = tetragonal
formation enthalpy at 0 K = -4.07 eV/f.u.

***

No. 3
Below is a PBEsol-optimized structure of YBe2H, with properties calculated at the meta-GGA SCAN level.

Structure (CIF):
```
data_YBe2H
_chemical_formula_sum 'Y4 Be8 H4'
_cell_length_a 6.019
_cell_length_b 6.019
_cell_length_c 6.019
_cell_angle_alpha 90.00
_cell_angle_beta 90.00
_cell_angle_gamma 90.00
_symmetry_space_group_name_H-M 'F m -3 m'
_symmetry_Int_Tables_number 225
_symmetry_space_group_name_Hall '-F 4 2 3'
loop_
_atom_site_label
_atom_site_fract_x
_atom_site_fract_y
_atom_site_fract_z
_atom_site_occupancy
Y1 0.000 0.000 0.000 1
Be1 0.250 0.250 0.250 1
H1 0.000 0.000 0.500 1
```

Calculated values
E above lowest polymorph = 739 meV/atom
crystal system = cubic

***

No. 4
Below is a PBEsol-optimized structure of Hf3MgSb, with properties calculated at the meta-GGA SCAN level.

Structure (CIF):
```
data_Hf3MgSb
_chemical_formula_sum 'Hf3 Mg1 Sb1'
_cell_length_a 5.193
_cell_length_b 5.193
_cell_length_c 5.193
_cell_angle_alpha 90.00
_cell_angle_beta 90.00
_cell_angle_gamma 90.00
_symmetry_space_group_name_H-M 'P m -3 m'
_symmetry_Int_Tables_number 221
_symmetry_space_group_name_Hall '-P 4 2 3'
loop_
_atom_site_label
_atom_site_fract_x
_atom_site_fract_y
_atom_site_fract_z
_atom_site_occupancy
Hf1 0.000 0.000 0.500 1
Mg1 0.500 0.500 0.500 1
Sb1 0.000 0.000 0.000 1
```

Calculated values
crystal system = cubic
uncorrected formation energy = 0.848 eV/atom

***

No. 5
Below is a PBEsol-optimized structure of VB, with properties calculated at the meta-GGA SCAN level.

Structure (CIF):
```
data_VB
_chemical_formula_sum 'V4 B4'
_cell_length_a 3.011
_cell_length_b 7.964
_cell_length_c 2.946
_cell_angle_alpha 90.00
_cell_angle_beta 90.00
_cell_angle_gamma 90.00
_symmetry_space_group_name_H-M 'C m c m'
_symmetry_Int_Tables_number 63
_symmetry_space_group_name_Hall '-C 2c 2'
loop_
_atom_site_label
_atom_site_fract_x
_atom_site_fract_y
_atom_site_fract_z
_atom_site_occupancy
V1 0.000 0.148 0.250 1
B1 0.000 0.437 0.250 1
```

Calculated values
crystal system = orthorhombic
formation enthalpy at 0 K = -1.79 eV/f.u.

***

No. 6
Below is a PBEsol-optimized structure of TcPOs2, with properties calculated at the meta-GGA SCAN level.

Structure (CIF):
```
data_TcPOs2
_chemical_formula_sum 'Tc1 P1 Os2'
_cell_length_a 2.818
_cell_length_b 2.818
_cell_length_c 6.636
_cell_angle_alpha 90.00
_cell_angle_beta 90.00
_cell_angle_gamma 90.00
_symmetry_space_group_name_H-M 'P 4/m m m'
_symmetry_Int_Tables_number 123
_symmetry_space_group_name_Hall '-P 4 2'
loop_
_atom_site_label
_atom_site_fract_x
_atom_site_fract_y
_atom_site_fract_z
_atom_site_occupancy
Tc1 0.000 0.000 0.000 1
P1 0.000 0.000 0.500 1
Os1 0.500 0.500 0.283 1
```

Calculated values
crystal system = tetragonal
formation enthalpy at 0 K = -0.19 eV/f.u.

***

No. 7
Below is a PBEsol-optimized structure of TaTiB4, with properties calculated at the meta-GGA SCAN level.

Structure (CIF):
```
data_TaTiB4
_chemical_formula_sum 'Ta1 Ti1 B4'
_cell_length_a 3.0569
_cell_length_b 3.0569
_cell_length_c 6.4567
_cell_angle_alpha 90.00
_cell_angle_beta 90.00
_cell_angle_gamma 120.00
_symmetry_space_group_name_H-M 'P 6/m m m'
_symmetry_Int_Tables_number 191
_symmetry_space_group_name_Hall '-P 6 2'
loop_
_atom_site_label
_atom_site_fract_x
_atom_site_fract_y
_atom_site_fract_z
_atom_site_occupancy
Ta1 0.0000 0.0000 0.0000 1
Ti1 0.0000 0.0000 0.5000 1
B1 0.3333 0.6667 0.2573 1
```

Calculated values
crystal system = hexagonal
formation enthalpy at 0 K = -5.42 eV/f.u.

***

No. 8
Below is a PBEsol-optimized structure of Ti2VIr, with properties calculated at the meta-GGA SCAN level.

Structure (CIF):
```
data_Ti2VIr
_chemical_formula_sum 'Ti8 V4 Ir4'
_cell_length_a 6.131
_cell_length_b 6.131
_cell_length_c 6.131
_cell_angle_alpha 90.00
_cell_angle_beta 90.00
_cell_angle_gamma 90.00
_symmetry_space_group_name_H-M 'F m -3 m'
_symmetry_Int_Tables_number 225
_symmetry_space_group_name_Hall '-F 4 2 3'
loop_
_atom_site_label
_atom_site_fract_x
_atom_site_fract_y
_atom_site_fract_z
_atom_site_occupancy
Ti1 0.250 0.250 0.250 1
V1 0.000 0.000 0.000 1
Ir1 0.000 0.000 0.500 1
```

Calculated values
crystal system = cubic
formation enthalpy at 0 K = -3.09 eV/f.u.

***

No. 9
Below is a PBEsol-optimized structure of MnAgBiF2, with properties calculated at the meta-GGA SCAN level.

Structure (CIF):
```
data_MnAgBiF2
_chemical_formula_sum 'Mn1 Ag1 Bi1 F2'
_cell_length_a 4.387
_cell_length_b 4.387
_cell_length_c 5.760
_cell_angle_alpha 90.00
_cell_angle_beta 90.00
_cell_angle_gamma 90.00
_symmetry_space_group_name_H-M 'P 4/m m m'
_symmetry_Int_Tables_number 123
_symmetry_space_group_name_Hall '-P 4 2'
loop_
_atom_site_label
_atom_site_fract_x
_atom_site_fract_y
_atom_site_fract_z
_atom_site_occupancy
Mn1 0.000 0.000 0.000 1
Ag1 0.500 0.500 0.000 1
Bi1 0.000 0.000 0.500 1
F1 0.000 0.500 0.500 1
```

Calculated values
crystal system = tetragonal
uncorrected formation energy = -0.733 eV/atom

***

No. 10
Below is a PBEsol-optimized structure of CoBi2Pt, with properties calculated at the meta-GGA SCAN level.

Structure (CIF):
```
data_CoBi2Pt
_chemical_formula_sum 'Co4 Bi8 Pt4'
_cell_length_a 6.814
_cell_length_b 6.814
_cell_length_c 6.814
_cell_angle_alpha 90.00
_cell_angle_beta 90.00
_cell_angle_gamma 90.00
_symmetry_space_group_name_H-M 'F m -3 m'
_symmetry_Int_Tables_number 225
_symmetry_space_group_name_Hall '-F 4 2 3'
loop_
_atom_site_label
_atom_site_fract_x
_atom_site_fract_y
_atom_site_fract_z
_atom_site_occupancy
Co1 0.000 0.000 0.000 1
Bi1 0.250 0.250 0.250 1
Pt1 0.000 0.000 0.500 1
```

Calculated values
crystal system = cubic
formation enthalpy at 0 K = 1.27 eV/f.u.

***

No. 11
Below is a PBEsol-optimized structure of Co3AsP, with properties calculated at the meta-GGA SCAN level.

Structure (CIF):
```
data_Co3AsP
_chemical_formula_sum 'Co3 As1 P1'
_cell_length_a 4.229
_cell_length_b 4.229
_cell_length_c 4.229
_cell_angle_alpha 90.00
_cell_angle_beta 90.00
_cell_angle_gamma 90.00
_symmetry_space_group_name_H-M 'P m -3 m'
_symmetry_Int_Tables_number 221
_symmetry_space_group_name_Hall '-P 4 2 3'
loop_
_atom_site_label
_atom_site_fract_x
_atom_site_fract_y
_atom_site_fract_z
_atom_site_occupancy
Co1 0.000 0.000 0.500 1
As1 0.000 0.000 0.000 1
P1 0.500 0.500 0.500 1
```

Calculated values
crystal system = cubic
formation enthalpy at 0 K = 4.79 eV/f.u.

***

No. 12
Below is a PBEsol-optimized structure of RbAl2Cl, with properties calculated at the meta-GGA SCAN level.

Structure (CIF):
```
data_RbAl2Cl
_chemical_formula_sum 'Rb4 Al8 Cl4'
_cell_length_a 4.167
_cell_length_b 4.167
_cell_length_c 26.954
_cell_angle_alpha 90.00
_cell_angle_beta 90.00
_cell_angle_gamma 90.00
_symmetry_space_group_name_H-M 'I -4 2 d'
_symmetry_Int_Tables_number 122
_symmetry_space_group_name_Hall 'I -4 2bw'
loop_
_atom_site_label
_atom_site_fract_x
_atom_site_fract_y
_atom_site_fract_z
_atom_site_occupancy
Rb1 0.000 0.000 0.000 1
Al1 0.234 0.250 0.625 1
Cl1 0.000 0.000 0.500 1
```

Calculated values
crystal system = tetragonal
uncorrected formation energy = -0.275 eV/atom